Below is a relaxed Ac2SnPRh6 crystal, with properties calculated at the PBE level.

Cell lengths 6.183, 6.183, 7.315 Å; angles 115.09, 115.09, 59.96 degrees
Atoms (fractional coordinates):
Ac 0.238 0.238 0.213
Ac 0.762 0.762 0.787
Sn 0.500 0.500 0.000
P 0.000 0.000 0.500
Rh 0.240 0.240 0.666
Rh 0.240 0.687 0.667
Rh 0.313 0.760 0.333
Rh 0.687 0.240 0.667
Rh 0.760 0.313 0.333
Rh 0.760 0.760 0.334

Its space-group type is C2/m (12). The formation enthalpy at 0 K is -0.6554 eV/atom.